Computed, not measured: a relaxed TbSm3Pu2Se6 crystal at the PBE level of DFT.

Cell and atoms, written as CIF:
```
data_TbSm3Pu2Se6
_chemical_formula_sum 'Tb2 Sm6 Pu4 Se12'
_symmetry_space_group_name_H-M 'C 1 2/m 1'
_symmetry_Int_Tables_number 12
_symmetry_space_group_name_Hall '-C 2y'
_cell_length_a 7.1667
_cell_length_b 12.4202
_cell_length_c 7.2178
_cell_angle_alpha 90.00
_cell_angle_beta 109.33
_cell_angle_gamma 90.00
loop_
_atom_site_label
_atom_site_fract_x
_atom_site_fract_y
_atom_site_fract_z
Tb1 0.0000 0.0000 0.0000
Sm1 0.0000 0.1674 0.5000
Sm2 0.0000 0.5000 0.5000
Pu1 0.0000 0.3336 0.0000
Se1 0.2477 0.1660 0.2452
Se2 0.2495 0.0000 0.7530
```

Computed properties:
E_form (uncorrected): -20.82 eV/f.u.
electronic total energy: -0.546 Ry per atom

Computed, not measured: a relaxed La2TbPt2 crystal at the PBE level of DFT.

Cell and atoms, written as CIF:
```
data_La2TbPt2
_chemical_formula_sum 'La4 Tb2 Pt4'
_symmetry_space_group_name_H-M 'P 4/m b m'
_symmetry_Int_Tables_number 127
_symmetry_space_group_name_Hall '-P 4 2ab'
_cell_length_a 7.9666
_cell_length_b 7.9666
_cell_length_c 4.1462
_cell_angle_alpha 90.00
_cell_angle_beta 90.00
_cell_angle_gamma 90.00
loop_
_atom_site_label
_atom_site_fract_x
_atom_site_fract_y
_atom_site_fract_z
La1 0.1631 0.3369 0.0000
Tb1 0.0000 0.0000 0.5000
Pt1 0.1403 0.6403 0.5000
```

Computed properties:
formation energy from the elements: -994 meV/atom
electronic total energy: -0.464 Ry per atom

Computed, not measured: a relaxed Y4Bi3Se crystal at the PBE level of DFT.

Cell and atoms, written as CIF:
```
data_Y4Bi3Se
_chemical_formula_sum 'Y8 Bi6 Se2'
_symmetry_space_group_name_H-M 'C m m m'
_symmetry_Int_Tables_number 65
_symmetry_space_group_name_Hall '-C 2 2'
_cell_length_a 8.7882
_cell_length_b 12.4116
_cell_length_c 4.3904
_cell_angle_alpha 90.00
_cell_angle_beta 90.00
_cell_angle_gamma 90.00
loop_
_atom_site_label
_atom_site_fract_x
_atom_site_fract_y
_atom_site_fract_z
Y1 0.0000 0.2448 0.0000
Y2 0.2407 0.0000 0.5000
Bi1 0.0000 0.5000 0.0000
Bi2 0.2500 0.2500 0.5000
Se1 0.0000 0.0000 0.0000
```

Computed properties:
E_form (uncorrected): -8.78 eV/f.u.
electronic total energy: -0.457 Ry per atom

Computed, not measured: a relaxed Np4Ga12Ni crystal at the PBE level of DFT.

Cell and atoms, written as CIF:
```
data_Np4Ga12Ni
_chemical_formula_sum 'Np8 Ga24 Ni2'
_symmetry_space_group_name_H-M 'I m -3 m'
_symmetry_Int_Tables_number 229
_symmetry_space_group_name_Hall '-I 4 2 3'
_cell_length_a 8.5863
_cell_length_b 8.5863
_cell_length_c 8.5863
_cell_angle_alpha 90.00
_cell_angle_beta 90.00
_cell_angle_gamma 90.00
loop_
_atom_site_label
_atom_site_fract_x
_atom_site_fract_y
_atom_site_fract_z
Np1 0.2500 0.2500 0.2500
Ga1 0.0000 0.0000 0.2850
Ga2 0.0000 0.2500 0.5000
Ni1 0.0000 0.0000 0.0000
```

Computed properties:
formation energy from the elements: -247 meV/atom
electronic total energy: -0.424 Ry per atom

Computed, not measured: a relaxed YZrTc2 crystal at the PBE level of DFT.

Cell and atoms, written as CIF:
```
data_YZrTc2
_chemical_formula_sum 'Y1 Zr1 Tc2'
_symmetry_space_group_name_H-M 'P m m m'
_symmetry_Int_Tables_number 47
_symmetry_space_group_name_Hall '-P 2 2'
_cell_length_a 3.3857
_cell_length_b 4.4003
_cell_length_c 5.0917
_cell_angle_alpha 90.00
_cell_angle_beta 90.00
_cell_angle_gamma 90.00
loop_
_atom_site_label
_atom_site_fract_x
_atom_site_fract_y
_atom_site_fract_z
Y1 0.0000 0.0000 0.0000
Zr1 0.5000 0.0000 0.5000
Tc1 0.0000 0.5000 0.5000
Tc2 0.5000 0.5000 0.0000
```

Computed properties:
formation energy from the elements: 175 meV/atom
electronic total energy: -0.644 Ry per atom

Computed, not measured: a relaxed Rb2Al2H crystal at the PBE level of DFT.

Cell and atoms, written as CIF:
```
data_Rb2Al2H
_chemical_formula_sum 'Rb4 Al4 H2'
_symmetry_space_group_name_H-M 'I 4/m m m'
_symmetry_Int_Tables_number 139
_symmetry_space_group_name_Hall '-I 4 2'
_cell_length_a 3.8356
_cell_length_b 3.8356
_cell_length_c 20.1678
_cell_angle_alpha 90.00
_cell_angle_beta 90.00
_cell_angle_gamma 90.00
loop_
_atom_site_label
_atom_site_fract_x
_atom_site_fract_y
_atom_site_fract_z
Rb1 0.0000 0.0000 0.0877
Al1 0.0000 0.5000 0.2500
H1 0.0000 0.0000 0.5000
```

Computed properties:
electronic total energy: -0.176 Ry per atom

Computed, not measured: a relaxed LaCdN2O crystal at the PBE level of DFT.

Cell and atoms, written as CIF:
```
data_LaCdN2O
_chemical_formula_sum 'La1 Cd1 N2 O1'
_symmetry_space_group_name_H-M 'P 4/m m m'
_symmetry_Int_Tables_number 123
_symmetry_space_group_name_Hall '-P 4 2'
_cell_length_a 4.3939
_cell_length_b 4.3939
_cell_length_c 4.4564
_cell_angle_alpha 90.00
_cell_angle_beta 90.00
_cell_angle_gamma 90.00
loop_
_atom_site_label
_atom_site_fract_x
_atom_site_fract_y
_atom_site_fract_z
La1 0.0000 0.0000 0.0000
Cd1 0.5000 0.5000 0.5000
N1 0.0000 0.5000 0.0000
O1 0.0000 0.0000 0.5000
```

Computed properties:
E_form (uncorrected): 2.34 eV/f.u.
electronic total energy: -0.369 Ry per atom

Computed, not measured: a relaxed TmTh2Pb2 crystal at the PBE level of DFT.

Cell and atoms, written as CIF:
```
data_TmTh2Pb2
_chemical_formula_sum 'Tm4 Th8 Pb8'
_symmetry_space_group_name_H-M 'C m c m'
_symmetry_Int_Tables_number 63
_symmetry_space_group_name_Hall '-C 2c 2'
_cell_length_a 5.3121
_cell_length_b 17.8525
_cell_length_c 6.5401
_cell_angle_alpha 90.00
_cell_angle_beta 90.00
_cell_angle_gamma 90.00
loop_
_atom_site_label
_atom_site_fract_x
_atom_site_fract_y
_atom_site_fract_z
Tm1 0.0000 0.1015 0.2500
Th1 0.0000 0.3090 0.2500
Th2 0.0000 0.5000 0.0000
Pb1 0.0000 0.0805 0.7500
Pb2 0.0000 0.3130 0.7500
```

Computed properties:
formation energy from the elements: -287 meV/atom
electronic total energy: -0.414 Ry per atom

Computed, not measured: a relaxed Na3CoAg crystal at the PBE level of DFT.

Cell and atoms, written as CIF:
```
data_Na3CoAg
_chemical_formula_sum 'Na3 Co1 Ag1'
_symmetry_space_group_name_H-M 'P m -3 m'
_symmetry_Int_Tables_number 221
_symmetry_space_group_name_Hall '-P 4 2 3'
_cell_length_a 5.5234
_cell_length_b 5.5234
_cell_length_c 5.5234
_cell_angle_alpha 90.00
_cell_angle_beta 90.00
_cell_angle_gamma 90.00
loop_
_atom_site_label
_atom_site_fract_x
_atom_site_fract_y
_atom_site_fract_z
Na1 0.0000 0.0000 0.5000
Co1 0.5000 0.5000 0.5000
Ag1 0.0000 0.0000 0.0000
```

Computed properties:
formation energy from the elements: 803 meV/atom
electronic total energy: -0.146 Ry per atom

Computed, not measured: a relaxed ReRh2Se crystal at the PBE level of DFT.

Cell and atoms, written as CIF:
```
data_ReRh2Se
_chemical_formula_sum 'Re4 Rh8 Se4'
_symmetry_space_group_name_H-M 'F -4 3 m'
_symmetry_Int_Tables_number 216
_symmetry_space_group_name_Hall 'F -4 2 3'
_cell_length_a 6.2033
_cell_length_b 6.2033
_cell_length_c 6.2033
_cell_angle_alpha 90.00
_cell_angle_beta 90.00
_cell_angle_gamma 90.00
loop_
_atom_site_label
_atom_site_fract_x
_atom_site_fract_y
_atom_site_fract_z
Re1 0.0000 0.0000 0.0000
Rh1 0.0000 0.0000 0.5000
Rh2 0.2500 0.2500 0.7500
Se1 0.2500 0.2500 0.2500
```

Computed properties:
E_form (uncorrected): 1.37 eV/f.u.
electronic total energy: -0.538 Ry per atom

Computed, not measured: a relaxed Ba2NaAgH6 crystal at the PBE level of DFT.

Cell and atoms, written as CIF:
```
data_Ba2NaAgH6
_chemical_formula_sum 'Ba8 Na4 Ag4 H24'
_symmetry_space_group_name_H-M 'F m -3 m'
_symmetry_Int_Tables_number 225
_symmetry_space_group_name_Hall '-F 4 2 3'
_cell_length_a 8.3791
_cell_length_b 8.3791
_cell_length_c 8.3791
_cell_angle_alpha 90.00
_cell_angle_beta 90.00
_cell_angle_gamma 90.00
loop_
_atom_site_label
_atom_site_fract_x
_atom_site_fract_y
_atom_site_fract_z
Ba1 0.2500 0.2500 0.2500
Na1 0.0000 0.0000 0.0000
Ag1 0.0000 0.0000 0.5000
H1 0.0000 0.0000 0.2601
```

Computed properties:
electronic total energy: -0.229 Ry per atom

Computed, not measured: a relaxed Rb3UNi2Se6 crystal at the PBE level of DFT.

Cell and atoms, written as CIF:
```
data_Rb3UNi2Se6
_chemical_formula_sum 'Rb6 U2 Ni4 Se12'
_symmetry_space_group_name_H-M 'C 1 2/m 1'
_symmetry_Int_Tables_number 12
_symmetry_space_group_name_Hall '-C 2y'
_cell_length_a 6.8244
_cell_length_b 11.7864
_cell_length_c 8.2659
_cell_angle_alpha 90.00
_cell_angle_beta 105.99
_cell_angle_gamma 90.00
loop_
_atom_site_label
_atom_site_fract_x
_atom_site_fract_y
_atom_site_fract_z
Rb1 0.0000 0.0000 0.0000
Rb2 0.0000 0.3358 0.0000
U1 0.0000 0.5000 0.5000
Ni1 0.0000 0.1667 0.5000
Se1 0.2079 0.0000 0.6772
Se2 0.2344 0.3245 0.6789
```

Computed properties:
E_form (uncorrected): -8.79 eV/f.u.
electronic total energy: -0.340 Ry per atom

Computed, not measured: a relaxed NiPRh2 crystal at the PBE level of DFT.

Cell and atoms, written as CIF:
```
data_NiPRh2
_chemical_formula_sum 'Ni3 P3 Rh6'
_symmetry_space_group_name_H-M 'R 3 m'
_symmetry_Int_Tables_number 160
_symmetry_space_group_name_Hall 'R 3 -2"'
_cell_length_a 2.7807
_cell_length_b 2.7807
_cell_length_c 23.4446
_cell_angle_alpha 90.00
_cell_angle_beta 90.00
_cell_angle_gamma 120.00
loop_
_atom_site_label
_atom_site_fract_x
_atom_site_fract_y
_atom_site_fract_z
Ni1 0.0000 0.0000 0.0000
P1 0.0000 0.0000 0.2655
Rh1 0.0000 0.0000 0.5228
Rh2 0.0000 0.0000 0.7576
```

Computed properties:
formation energy from the elements: -136 meV/atom
electronic total energy: -0.486 Ry per atom

Computed, not measured: a relaxed V2Cr3Tc crystal at the PBE level of DFT.

Cell and atoms, written as CIF:
```
data_V2Cr3Tc
_chemical_formula_sum 'V2 Cr3 Tc1'
_symmetry_space_group_name_H-M 'P 1 m 1'
_symmetry_Int_Tables_number 6
_symmetry_space_group_name_Hall 'P -2y'
_cell_length_a 2.5751
_cell_length_b 4.1294
_cell_length_c 7.1441
_cell_angle_alpha 90.00
_cell_angle_beta 90.03
_cell_angle_gamma 90.00
loop_
_atom_site_label
_atom_site_fract_x
_atom_site_fract_y
_atom_site_fract_z
V1 0.0000 0.0000 0.0000
V2 0.0030 0.5000 0.5104
Cr1 0.3390 0.0000 0.3465
Cr2 0.3387 0.5000 0.8326
Cr3 0.6595 0.0000 0.6716
Tc1 0.6676 0.5000 0.1721
```

Computed properties:
formation energy from the elements: -107 meV/atom
electronic total energy: -0.712 Ry per atom

Computed, not measured: a relaxed Tb6Ho3Sc crystal at the PBE level of DFT.

Cell and atoms, written as CIF:
```
data_Tb6Ho3Sc
_chemical_formula_sum 'Tb24 Ho12 Sc4'
_symmetry_space_group_name_H-M 'C m c 21'
_symmetry_Int_Tables_number 36
_symmetry_space_group_name_Hall 'C 2c -2'
_cell_length_a 10.8764
_cell_length_b 18.8652
_cell_length_c 6.1391
_cell_angle_alpha 90.00
_cell_angle_beta 90.00
_cell_angle_gamma 90.00
loop_
_atom_site_label
_atom_site_fract_x
_atom_site_fract_y
_atom_site_fract_z
Tb1 0.0000 0.0469 0.0000
Tb2 0.0000 0.2768 0.2784
Tb3 0.1651 0.4541 0.3843
Tb4 0.2394 0.2891 0.5696
Ho1 0.0000 0.3880 0.8553
Ho2 0.1647 0.1107 0.4661
Sc1 0.0000 0.2039 0.7953
```

Computed properties:
formation energy from the elements: 142 meV/atom
electronic total energy: -0.341 Ry per atom

Computed, not measured: a relaxed LiLuHfFe crystal at the PBE level of DFT.

Cell and atoms, written as CIF:
```
data_LiLuHfFe
_chemical_formula_sum 'Li4 Lu4 Hf4 Fe4'
_symmetry_space_group_name_H-M 'F -4 3 m'
_symmetry_Int_Tables_number 216
_symmetry_space_group_name_Hall 'F -4 2 3'
_cell_length_a 6.5178
_cell_length_b 6.5178
_cell_length_c 6.5178
_cell_angle_alpha 90.00
_cell_angle_beta 90.00
_cell_angle_gamma 90.00
loop_
_atom_site_label
_atom_site_fract_x
_atom_site_fract_y
_atom_site_fract_z
Li1 0.0000 0.0000 0.0000
Lu1 0.2500 0.2500 0.2500
Hf1 0.2500 0.2500 0.7500
Fe1 0.0000 0.0000 0.5000
```

Computed properties:
formation energy from the elements: -3 meV/atom
electronic total energy: -0.457 Ry per atom

Computed, not measured: a relaxed TcSn3Hg crystal at the PBE level of DFT.

Cell and atoms, written as CIF:
```
data_TcSn3Hg
_chemical_formula_sum 'Tc1 Sn3 Hg1'
_symmetry_space_group_name_H-M 'P m -3 m'
_symmetry_Int_Tables_number 221
_symmetry_space_group_name_Hall '-P 4 2 3'
_cell_length_a 5.2056
_cell_length_b 5.2056
_cell_length_c 5.2056
_cell_angle_alpha 90.00
_cell_angle_beta 90.00
_cell_angle_gamma 90.00
loop_
_atom_site_label
_atom_site_fract_x
_atom_site_fract_y
_atom_site_fract_z
Tc1 0.0000 0.0000 0.0000
Sn1 0.0000 0.0000 0.5000
Hg1 0.5000 0.5000 0.5000
```

Computed properties:
formation energy from the elements: 131 meV/atom
electronic total energy: -0.324 Ry per atom

Computed, not measured: a relaxed Cd2HgPb2 crystal at the PBE level of DFT.

Cell and atoms, written as CIF:
```
data_Cd2HgPb2
_chemical_formula_sum 'Cd4 Hg2 Pb4'
_symmetry_space_group_name_H-M 'P 4/m b m'
_symmetry_Int_Tables_number 127
_symmetry_space_group_name_Hall '-P 4 2ab'
_cell_length_a 7.5222
_cell_length_b 7.5222
_cell_length_c 4.9175
_cell_angle_alpha 90.00
_cell_angle_beta 90.00
_cell_angle_gamma 90.00
loop_
_atom_site_label
_atom_site_fract_x
_atom_site_fract_y
_atom_site_fract_z
Cd1 0.1365 0.3635 0.0000
Hg1 0.0000 0.0000 0.0000
Pb1 0.1691 0.6691 0.5000
```

Computed properties:
formation energy from the elements: 66 meV/atom
electronic total energy: -0.135 Ry per atom

Computed, not measured: a relaxed Te4Mo3WSe4 crystal at the PBE level of DFT.

Cell and atoms, written as CIF:
```
data_Te4Mo3WSe4
_chemical_formula_sum 'Te4 Mo3 W1 Se4'
_symmetry_space_group_name_H-M 'P 3 m 1'
_symmetry_Int_Tables_number 156
_symmetry_space_group_name_Hall 'P 3 -2"'
_cell_length_a 3.4323
_cell_length_b 3.4323
_cell_length_c 29.1864
_cell_angle_alpha 90.00
_cell_angle_beta 90.00
_cell_angle_gamma 120.00
loop_
_atom_site_label
_atom_site_fract_x
_atom_site_fract_y
_atom_site_fract_z
Te1 0.0000 0.0000 0.0000
Te2 0.0000 0.0000 0.1274
Te3 0.3333 0.6667 0.2600
Te4 0.3333 0.6667 0.3874
Mo1 0.0000 0.0000 0.3237
Mo2 0.0000 0.0000 0.8138
Mo3 0.3333 0.6667 0.0637
W1 0.3333 0.6667 0.5740
Se1 0.0000 0.0000 0.5177
Se2 0.0000 0.0000 0.6303
Se3 0.3333 0.6667 0.7578
Se4 0.3333 0.6667 0.8699
```

Computed properties:
E_form (uncorrected): -5.08 eV/f.u.
electronic total energy: -0.472 Ry per atom

Computed, not measured: a relaxed BaLaCl2 crystal at the PBE level of DFT.

Cell and atoms, written as CIF:
```
data_BaLaCl2
_chemical_formula_sum 'Ba2 La2 Cl4'
_symmetry_space_group_name_H-M 'I m m 2'
_symmetry_Int_Tables_number 44
_symmetry_space_group_name_Hall 'I 2 -2'
_cell_length_a 3.8698
_cell_length_b 3.9223
_cell_length_c 20.4062
_cell_angle_alpha 90.00
_cell_angle_beta 90.00
_cell_angle_gamma 90.00
loop_
_atom_site_label
_atom_site_fract_x
_atom_site_fract_y
_atom_site_fract_z
Ba1 0.0000 0.0000 0.0000
La1 0.0000 0.5000 0.1861
Cl1 0.0000 0.0000 0.4299
Cl2 0.0000 0.5000 0.7436
```

Computed properties:
E_form (uncorrected): -5.93 eV/f.u.
electronic total energy: -0.303 Ry per atom